Version a
A geometry-optimized CaMgW structure, computed with PBE.

a b c (Å): 7.9640 7.9041 2.8817
angles (deg): 80.71 78.37 20.92
Closest atoms and distances in Å follow each position.
Fractional positions:
Mg  0.3179  0.3179  0.6821  4 Mg 2.88, 4 W 2.94-3.10
Ca  0.0095  0.0095  0.9905  4 Ca 2.88, 2 W 3.15
W  0.6725  0.6725  0.3275  4 W 2.88, 4 Mg 2.94-3.10, 2 Ca 3.15

Output
- space group = Fmm2, No. 42
- ρ (Mg/m³) = 6.52
- N(E_F) (states/eV/atom) = 0.49
- total moment (μB/f.u.) = 0.000

Version b
A geometry-optimized CaMgW structure, computed with PBE.

a b c (Å): 4.8906 4.8906 4.8906
angles (deg): 60.00 60.00 60.00
Closest atoms and distances in Å follow each position.
Fractional positions:
Ca  0.5000  0.5000  0.5000  4 Mg 2.99
W  0.0000  0.0000  0.0000  4 Mg 2.99
Mg  0.7500  0.7500  0.7500  4 Ca 2.99, 4 W 2.99

Output
- space group = F-43m, No. 216
- ρ (Mg/m³) = 4.98
- N(E_F) (states/eV/atom) = 1.19
- total moment (μB/f.u.) = 3.518

Q: What are the energies relative to the best structure? A: version a 0.000; version b 0.911, in eV/atom.

Version a
A geometry-optimized CaMgW structure, computed with PBE.

a b c (Å): 7.9111 7.9111 7.9111
angles (deg): 159.00 159.00 29.87
Closest atoms and distances in Å follow each position.
Fractional positions:
Mg  0.3171  0.3171  0.0000  4 Mg 2.88, 4 W 3.00
Ca  0.0097  0.0097  0.0000  4 Ca 2.88, 4 W 3.23
W  0.6732  0.6732  0.0000  4 W 2.88, 4 Mg 3.00, 4 Ca 3.23

Output
- space group = I4mm, No. 107
- ρ (Mg/m³) = 6.48
- N(E_F) (states/eV/atom) = 0.62
- total moment (μB/f.u.) = 0.000

Version b
A geometry-optimized CaMgW structure, computed with PBE.

a b c (Å): 3.0430 3.0430 7.9542
angles (deg): 90.00 90.00 120.00
Closest atoms and distances in Å follow each position.
Fractional positions:
Mg  0.6667  0.3333  0.3614  3 W 2.95, 6 Mg 3.04
Ca  0.0000  0.0000  0.9798  6 Ca 3.04, 3 W 3.10
W  0.3333  0.6667  0.6588  3 Mg 2.95, 6 W 3.04, 3 Ca 3.10

Output
- space group = P3m1, No. 156
- ρ (Mg/m³) = 6.46
- N(E_F) (states/eV/atom) = 0.74
- total moment (μB/f.u.) = 0.000

Q: What are the energies relative to the best structure? A: version a 0.000; version b 0.092, in eV/atom.

Version a
A geometry-optimized CaMgW3 structure, computed with PBE.

a b c (Å): 4.6961 4.6961 4.6961
angles (deg): 90.00 90.00 90.00
Closest atoms and distances in Å follow each position.
Fractional positions:
Mg  0.5000  0.5000  0.5000  12 W 3.32
W  0.5000  0.0000  0.0000  2 Ca 2.35
Ca  0.0000  0.0000  0.0000  6 W 2.35
W  0.0000  0.5000  0.0000  2 Ca 2.35
W  0.0000  0.0000  0.5000  2 Ca 2.35

Output
- space group = Pm-3m, No. 221
- ρ (Mg/m³) = 9.88
- N(E_F) (states/eV/atom) = 0.86
- total moment (μB/f.u.) = 0.000

Version b
A geometry-optimized CaMgW3 structure, computed with PBE.

a b c (Å): 4.7445 4.7445 4.7445
angles (deg): 90.00 90.00 90.00
Closest atoms and distances in Å follow each position.
Fractional positions:
Ca  0.5000  0.5000  0.5000  12 W 3.35
W  0.0000  0.0000  0.5000  2 Mg 2.37
W  0.0000  0.5000  0.0000  2 Mg 2.37
Mg  0.0000  0.0000  0.0000  6 W 2.37
W  0.5000  0.0000  0.0000  2 Mg 2.37

Output
- space group = Pm-3m, No. 221
- ρ (Mg/m³) = 9.58
- N(E_F) (states/eV/atom) = 1.49
- total moment (μB/f.u.) = 1.160

Q: What are the energies relative to the best structure? A: version a 0.636; version b 0.000, in eV/atom.

Version a
A geometry-optimized Ca2Mg2W structure, computed with PBE.

a b c (Å): 8.5374 8.5374 3.3545
angles (deg): 90.00 90.00 90.00
Closest atoms and distances in Å follow each position.
Fractional positions:
Ca  0.6784  0.8216  0.5000  6 Mg 2.92-3.11
Ca  0.8216  0.3216  0.5000  6 Mg 2.92-3.11
Ca  0.3216  0.1784  0.5000  6 Mg 2.92-3.11
Mg  0.1241  0.3759  0.0000  6 Ca 2.92-3.11, 1 Mg 3.00
Mg  0.8759  0.6241  0.0000  6 Ca 2.92-3.11, 1 Mg 3.00
Ca  0.1784  0.6784  0.5000  6 Mg 2.92-3.11
Mg  0.6241  0.1241  0.0000  6 Ca 2.92-3.11, 1 Mg 3.00
Mg  0.3759  0.8759  0.0000  6 Ca 2.92-3.11, 1 Mg 3.00
W  0.0000  0.0000  0.0000  2 W 3.35, 4 Mg 3.38, 8 Ca 3.56
W  0.5000  0.5000  0.0000  2 W 3.35, 4 Mg 3.38, 8 Ca 3.56

Output
- space group = P4/mbm, No. 127
- ρ (Mg/m³) = 4.25
- N(E_F) (states/eV/atom) = 0.46
- total moment (μB/f.u.) = 0.000

Version b
A geometry-optimized Ca2Mg2W structure, computed with PBE.

a b c (Å): 4.1742 4.1742 8.0912
angles (deg): 75.05 75.05 90.00
Closest atoms and distances in Å follow each position.
Fractional positions:
Ca  0.7500  0.2500  0.5000  4 Ca 2.95, 4 Mg 3.23
Ca  0.2500  0.7500  0.5000  4 Ca 2.95, 4 Mg 3.23
Mg  0.5863  0.5863  0.8274  1 Mg 2.60
Mg  0.4137  0.4137  0.1726  1 Mg 2.60
W  0.0000  0.0000  0.0000  8 Mg 3.23

Output
- space group = I4/mmm, No. 139
- ρ (Mg/m³) = 3.95
- N(E_F) (states/eV/atom) = 1.00
- total moment (μB/f.u.) = 3.411

Q: What are the energies relative to the best structure? A: version a 0.000; version b 0.369, in eV/atom.

Version a
A geometry-optimized Ca3YMg structure, computed with PBE.

a b c (Å): 6.1702 6.1702 6.1702
angles (deg): 90.00 90.00 90.00
Closest atoms and distances in Å follow each position.
Fractional positions:
Mg  0.5000  0.5000  0.5000  12 Ca 4.36
Ca  0.0000  0.5000  0.0000  2 Y 3.09
Y  0.0000  0.0000  0.0000  6 Ca 3.09
Ca  0.5000  0.0000  0.0000  2 Y 3.09
Ca  0.0000  0.0000  0.5000  2 Y 3.09

Output
- space group = Pm-3m, No. 221
- ρ (Mg/m³) = 1.65
- N(E_F) (states/eV/atom) = 1.21
- total moment (μB/f.u.) = 2.802

Version b
A geometry-optimized Ca3YMg structure, computed with PBE.

a b c (Å): 5.9294 5.9294 5.9294
angles (deg): 90.00 90.00 90.00
Closest atoms and distances in Å follow each position.
Fractional positions:
Ca  0.0000  0.0000  0.5000  2 Mg 2.96
Mg  0.0000  0.0000  0.0000  6 Ca 2.96
Ca  0.0000  0.5000  0.0000  2 Mg 2.96
Y  0.5000  0.5000  0.5000  12 Ca 4.19
Ca  0.5000  0.0000  0.0000  2 Mg 2.96

Output
- space group = Pm-3m, No. 221
- ρ (Mg/m³) = 1.86
- N(E_F) (states/eV/atom) = 2.43
- total moment (μB/f.u.) = 0.003

Q: What are the energies relative to the best structure? A: version a 0.400; version b 0.000, in eV/atom.

Version a
A geometry-optimized CaY3Mg structure, computed with PBE.

a b c (Å): 5.6124 5.6124 5.6124
angles (deg): 90.00 90.00 90.00
Closest atoms and distances in Å follow each position.
Fractional positions:
Y  0.0000  0.0000  0.5000  2 Ca 2.81
Y  0.0000  0.5000  0.0000  2 Ca 2.81
Mg  0.5000  0.5000  0.5000  12 Y 3.97
Y  0.5000  0.0000  0.0000  2 Ca 2.81
Ca  0.0000  0.0000  0.0000  6 Y 2.81

Output
- space group = Pm-3m, No. 221
- ρ (Mg/m³) = 3.11
- N(E_F) (states/eV/atom) = 0.81
- total moment (μB/f.u.) = 0.000

Version b
A geometry-optimized CaY3Mg structure, computed with PBE.

a b c (Å): 5.7158 5.7158 5.7158
angles (deg): 90.00 90.00 90.00
Closest atoms and distances in Å follow each position.
Fractional positions:
Y  0.5000  0.0000  0.0000  2 Mg 2.86
Y  0.0000  0.5000  0.0000  2 Mg 2.86
Y  0.0000  0.0000  0.5000  2 Mg 2.86
Mg  0.0000  0.0000  0.0000  6 Y 2.86
Ca  0.5000  0.5000  0.5000  12 Y 4.04

Output
- space group = Pm-3m, No. 221
- ρ (Mg/m³) = 2.94
- N(E_F) (states/eV/atom) = 1.76
- total moment (μB/f.u.) = 0.000

Q: What are the energies relative to the best structure? A: version a 0.426; version b 0.000, in eV/atom.

Version a
A geometry-optimized Ca8Mg4Zn structure, computed with PBE.

a b c (Å): 11.4806 11.4806 11.4806
angles (deg): 91.39 91.39 162.05
Closest atoms and distances in Å follow each position.
Fractional positions:
Mg  0.3614  0.5293  0.8908  2 Zn 2.89, 2 Mg 3.21
Zn  0.0000  0.0000  0.0000  8 Mg 2.89
Ca  0.9612  0.6631  0.6242  5 Ca 3.58-3.89, 2 Mg 3.65
Ca  0.6631  0.0388  0.7019  5 Ca 3.58-3.89, 2 Mg 3.65
Mg  0.4707  0.3614  0.8321  2 Zn 2.89, 2 Mg 3.21
Ca  0.3369  0.9612  0.2981  5 Ca 3.58-3.89, 2 Mg 3.65
Ca  0.7342  0.6505  0.3847  2 Mg 3.27-3.29, 3 Ca 3.58-3.65
Mg  0.5293  0.6386  0.1679  2 Zn 2.89, 2 Mg 3.21
Ca  0.0388  0.3369  0.3758  5 Ca 3.58-3.89, 2 Mg 3.65
Ca  0.3495  0.7342  0.0837  2 Mg 3.27-3.29, 3 Ca 3.58-3.65
Ca  0.2658  0.3495  0.6153  2 Mg 3.27-3.29, 3 Ca 3.58-3.65
Mg  0.6386  0.4707  0.1092  2 Zn 2.89, 2 Mg 3.21
Ca  0.6505  0.2658  0.9163  2 Mg 3.27-3.29, 3 Ca 3.58-3.65

Output
- space group = I4/m, No. 87
- ρ (Mg/m³) = 1.74
- N(E_F) (states/eV/atom) = 0.85
- total moment (μB/f.u.) = 0.000

Version b
A geometry-optimized Ca8Mg4Zn structure, computed with PBE.

a b c (Å): 8.8763 8.8763 8.8763
angles (deg): 98.42 98.42 135.01
Closest atoms and distances in Å follow each position.
Fractional positions:
Ca  0.0000  0.6699  0.6699  4 Mg 3.49, 4 Ca 3.65-3.84, 1 Zn 3.83
Mg  0.5000  0.0000  0.0000  8 Ca 3.38-3.49, 2 Mg 3.40
Ca  0.2842  0.5000  0.7842  4 Mg 3.38, 4 Ca 3.54-3.65
Ca  0.7158  0.5000  0.2158  4 Mg 3.38, 4 Ca 3.54-3.65
Mg  0.5000  0.5000  0.5000  8 Ca 3.38-3.49, 2 Mg 3.40
Ca  0.5000  0.2842  0.7842  4 Mg 3.38, 4 Ca 3.54-3.65
Ca  0.5000  0.7158  0.2158  4 Mg 3.38, 4 Ca 3.54-3.65
Mg  0.0000  0.5000  0.0000  8 Ca 3.38-3.49, 2 Mg 3.40
Mg  0.0000  0.0000  0.5000  8 Ca 3.38-3.49, 2 Mg 3.40
Zn  0.0000  0.0000  0.0000  12 Ca 3.83-4.22
Ca  0.6699  0.0000  0.6699  4 Mg 3.49, 4 Ca 3.65-3.84, 1 Zn 3.83
Ca  0.0000  0.3301  0.3301  4 Mg 3.49, 4 Ca 3.65-3.84, 1 Zn 3.83
Ca  0.3301  0.0000  0.3301  4 Mg 3.49, 4 Ca 3.65-3.84, 1 Zn 3.83

Output
- space group = I4/mmm, No. 139
- ρ (Mg/m³) = 1.76
- N(E_F) (states/eV/atom) = 1.05
- total moment (μB/f.u.) = 0.000

Q: What are the energies relative to the best structure? A: version a 0.021; version b 0.000, in eV/atom.

Version a
A geometry-optimized Ca3MgZn3 structure, computed with PBE.

a b c (Å): 4.4623 6.3373 14.0308
angles (deg): 83.54 80.85 69.39
Closest atoms and distances in Å follow each position.
Fractional positions:
Mg  0.7607  0.0666  0.4120  4 Zn 2.77-2.94
Zn  0.9010  0.1228  0.0752  2 Zn 2.61-2.62
Mg  0.2393  0.9334  0.5880  4 Zn 2.77-2.94
Zn  0.8861  0.6832  0.5447  1 Zn 2.57, 3 Mg 2.77-2.84
Ca  0.5122  0.3482  0.6274  6 Zn 3.16-3.28, 4 Mg 3.39-3.51
Zn  0.9649  0.8419  0.2284  1 Zn 2.62
Ca  0.7403  0.7445  0.7749  6 Zn 3.18-3.48, 2 Mg 3.55
Ca  0.6115  0.7018  0.0752  7 Zn 3.18-3.43
Zn  0.1139  0.3168  0.4553  1 Zn 2.57, 3 Mg 2.77-2.84
Zn  0.0990  0.8772  0.9248  2 Zn 2.61-2.62
Ca  0.4878  0.6518  0.3726  6 Zn 3.16-3.28, 4 Mg 3.39-3.51
Zn  0.0351  0.1581  0.7716  1 Zn 2.62
Ca  0.3885  0.2982  0.9248  7 Zn 3.18-3.43
Ca  0.2597  0.2555  0.2251  6 Zn 3.18-3.48, 2 Mg 3.55

Output
- space group = C2/m, No. 12
- ρ (Mg/m³) = 3.09
- N(E_F) (states/eV/atom) = 0.74
- total moment (μB/f.u.) = 0.000

Version b
A geometry-optimized Ca3MgZn3 structure, computed with PBE.

a b c (Å): 10.5079 11.1519 4.3725
angles (deg): 90.00 90.00 131.09
Closest atoms and distances in Å follow each position.
Fractional positions:
Ca  0.8270  0.1866  0.2500  6 Zn 3.09-3.20
Zn  0.0888  0.5604  0.2500  2 Zn 2.60, 1 Mg 2.84
Ca  0.7488  0.8301  0.7500  4 Zn 3.23-3.29, 2 Mg 3.56
Mg  0.4477  0.7774  0.2500  5 Zn 2.76-2.84
Mg  0.5523  0.2226  0.7500  5 Zn 2.76-2.84
Ca  0.1730  0.8134  0.7500  6 Zn 3.09-3.20
Zn  0.5588  0.9745  0.7500  2 Zn 2.75, 3 Mg 2.76-2.81
Ca  0.7687  0.5314  0.2500  6 Zn 3.08-3.18, 2 Mg 3.39
Ca  0.2313  0.4686  0.7500  6 Zn 3.08-3.18, 2 Mg 3.39
Zn  0.9112  0.4396  0.7500  2 Zn 2.60, 1 Mg 2.84
Zn  0.4957  0.5589  0.2500  2 Zn 2.58, 1 Mg 2.79
Ca  0.2512  0.1699  0.2500  4 Zn 3.23-3.29, 2 Mg 3.56
Zn  0.5043  0.4411  0.7500  2 Zn 2.58, 1 Mg 2.79
Zn  0.4412  0.0255  0.2500  2 Zn 2.75, 3 Mg 2.76-2.81

Output
- space group = P2_1/m, No. 11
- ρ (Mg/m³) = 2.93
- N(E_F) (states/eV/atom) = 0.54
- total moment (μB/f.u.) = 0.000

Q: What are the energies relative to the best structure? A: version a 0.000; version b 0.021, in eV/atom.